Density functional theory data (PBE) for K3Pd4F12 after structural relaxation.

Cell: 7.3485 7.3485 7.3485 Å, 109.47 109.47 109.47°
Fractional coordinates of all 19 atoms:
F 0.7416 0.4830 0.7415
F 0.5170 0.2585 0.2584
F 0.7415 0.2584 0.9999
F 0.4830 0.7415 0.7416
F 0.2585 0.7416 0.0001
F 0.9999 0.7415 0.2584
F 0.2585 0.2584 0.5170
F 0.0001 0.2585 0.7416
F 0.2584 0.5170 0.2585
F 0.2584 0.9999 0.7415
F 0.7415 0.7416 0.4830
F 0.7416 0.0001 0.2585
Pd 0.0000 0.5000 0.0000
Pd 0.5000 0.5000 0.5000
Pd 0.5000 0.0000 0.0000
Pd 0.0000 0.0000 0.5000
K 0.5000 0.0000 0.5000
K 0.5000 0.5000 0.0000
K 0.0000 0.5000 0.5000

## Properties
The calculated density comes out at 4.2 g cm⁻³. The value obtained for the calculated volume is 16.077 Å³/atom. The calculation puts the raw formation energy at -1768 meV per atom. Its space-group type is No. 229.